[1]
# PBE La2PmNi, optimized geometry
data_La2PmNi
_cell_length_a 3.7659
_cell_length_b 3.7659
_cell_length_c 31.5369
_cell_angle_alpha 90.00
_cell_angle_beta 90.00
_cell_angle_gamma 120.00
_space_group_name_H-M_alt 'R -3 m'
_space_group_IT_number 166
_space_group_name_Hall '-R 3 2"'
loop_
_atom_site_label
_atom_site_type_symbol
_atom_site_fract_x
_atom_site_fract_y
_atom_site_fract_z
La1 La 0.0000 0.0000 0.1108
Pm1 Pm 0.0000 0.0000 0.0000
Ni1 Ni 0.0000 0.0000 0.5000
# Calculated volume ... 32.28 Å³/atom
# Calculated density ... 6.2 g/cm³
# Distance to the lowest polymorph of the same formula ... 251 meV/atom
# E_form ... 0.0695 eV/atom

[2]
# PBE La2PmNi, optimized geometry
data_La2PmNi
_cell_length_a 7.1280
_cell_length_b 10.2034
_cell_length_c 6.5142
_cell_angle_alpha 90.00
_cell_angle_beta 90.00
_cell_angle_gamma 90.00
_space_group_name_H-M_alt 'P n m a'
_space_group_IT_number 62
loop_
_space_group_symop_operation_xyz
'x,y,z'
'-x,-y,-z'
'-x+1/2,-y,z+1/2'
'x+1/2,y,-z+1/2'
'x+1/2,-y+1/2,-z+1/2'
'-x+1/2,y+1/2,z+1/2'
'-x,y+1/2,-z'
'x,-y+1/2,z'
loop_
_atom_site_label
_atom_site_type_symbol
_atom_site_fract_x
_atom_site_fract_y
_atom_site_fract_z
La1 La 0.1738 0.0678 0.1741
Pm1 Pm 0.0331 0.2500 0.6541
Ni1 Ni 0.1173 0.7500 0.9257
# Calculated volume ... 29.61 Å³/atom
# Calculated density ... 6.8 g/cm³
# Distance to the lowest polymorph of the same formula ... 0 meV/atom
# E_form ... -0.1811 eV/atom

[3]
# PBE La2PmNi2, optimized geometry
data_La2PmNi2
_cell_length_a 11.4483
_cell_length_b 3.9799
_cell_length_c 5.9649
_cell_angle_alpha 90.00
_cell_angle_beta 107.04
_cell_angle_gamma 90.00
_space_group_name_H-M_alt 'C 1 2/m 1'
_space_group_IT_number 12
loop_
_space_group_symop_operation_xyz
'x,y,z'
'-x,-y,-z'
'-x,y,-z'
'x,-y,z'
'x+1/2,y+1/2,z'
'-x+1/2,-y+1/2,-z'
'-x+1/2,y+1/2,-z'
'x+1/2,-y+1/2,z'
loop_
_atom_site_label
_atom_site_type_symbol
_atom_site_fract_x
_atom_site_fract_y
_atom_site_fract_z
La1 La 0.1548 0.0000 0.1196
Pm1 Pm 0.0000 0.5000 0.5000
Ni1 Ni 0.2089 0.0000 0.6125
# Calculated volume ... 25.99 Å³/atom
# Calculated density ... 6.9 g/cm³
# Distance to the lowest polymorph of the same formula ... 86 meV/atom
# E_form ... -0.1603 eV/atom

Question: What is the formula in the third record?
Answer: La2PmNi2